1.
Entry from Alexandria via LeMat-Bulk: a relaxed GaSnI4 crystal (GGA-PBE).

electronic total energy: -2.572 eV/atom
space group: P1, No. 1
ΔE_f (raw): -0.367 eV/atom

Cell lengths 6.0268, 6.4408, 7.8422 Å; angles 113.44, 112.58, 90.27 degrees
Last column: nearest neighbours and their distance in Å.
Atoms (fractional coordinates):
Ga  0.0000  0.0000  0.0000  5 I 2.78-3.11
Sn  0.2385  0.8139  0.4874  5 I 3.03-3.24
I  0.2238  0.2703  0.4535  1 Ga 2.98, 1 Sn 3.05
I  0.4879  0.0635  0.9834  2 Ga 3.03-3.07, 1 Sn 3.24
I  0.7572  0.7921  0.5242  2 Sn 3.03-3.04, 1 Ga 3.11
I  0.9945  0.5716  0.0053  1 Ga 2.78

2.
Entry from Alexandria via LeMat-Bulk: a relaxed ScCo3Ge crystal (GGA-PBE).

electronic total energy: -5.150 eV/atom
space group: Pm-3m, No. 221
E_form: 125.76 kJ/mol of atoms

Cell lengths 4.3898, 4.3898, 4.3898 Å; angles 90.00, 90.00, 90.00 degrees
Last column: nearest neighbours and their distance in Å.
Atoms (fractional coordinates):
Sc  0.0000  0.0000  0.0000  6 Co 2.19
Co  0.0000  0.0000  0.5000  2 Sc 2.19
Co  0.0000  0.5000  0.0000  2 Sc 2.19
Co  0.5000  0.0000  0.0000  2 Sc 2.19
Ge  0.5000  0.5000  0.5000  12 Co 3.10

3.
Entry from Alexandria via LeMat-Bulk: a relaxed Er8P3Pb3S crystal (GGA-PBE).

electronic total energy: -5.578 eV/atom
space group: C2/m, No. 12
ΔE_f (raw): -1.046 eV/atom

Cell lengths 7.7774, 7.7774, 8.8493 Å; angles 116.16, 116.16, 59.89 degrees
Last column: nearest neighbours and their distance in Å.
Atoms (fractional coordinates):
Er  0.2320  0.7357  0.7037  2 P 2.72, 1 S 2.74
Er  0.2332  0.2332  0.6994  3 P 2.71
Er  0.2641  0.2641  0.2964  2 P 2.72, 1 S 2.74
Er  0.2643  0.7680  0.2963  2 P 2.72, 1 S 2.74
Er  0.7357  0.2320  0.7037  2 P 2.72, 1 S 2.74
Er  0.7359  0.7359  0.7036  2 P 2.72, 1 S 2.74
Er  0.7668  0.7668  0.3006  3 P 2.71
Er  0.7680  0.2643  0.2963  2 P 2.72, 1 S 2.74
P  0.0000  0.0000  0.5000  6 Er 2.71-2.72
P  0.0000  0.5000  0.5000  6 Er 2.71-2.72
P  0.5000  0.0000  0.5000  6 Er 2.71-2.72
Pb  0.0000  0.5000  0.0000  6 Er 3.19-3.21
Pb  0.5000  0.0000  0.0000  6 Er 3.19-3.21
Pb  0.5000  0.5000  0.0000  6 Er 3.19-3.21
S  0.5000  0.5000  0.5000  6 Er 2.74

4.
Entry from Alexandria via LeMat-Bulk: a relaxed KYAl2 crystal (GGA-PBE).

electronic total energy: -3.418 eV/atom
space group: I-4m2, No. 119
E_form: 33.15 kJ/mol of atoms

Cell lengths 5.8123, 5.8123, 5.8123 Å; angles 132.12, 132.12, 70.04 degrees
Last column: nearest neighbours and their distance in Å.
Atoms (fractional coordinates):
K  0.0000  0.0000  0.0000  8 Al 3.34-3.35, 4 Y 3.35
Y  0.2500  0.7500  0.5000  8 Al 3.34-3.35, 4 K 3.35
Al  0.5000  0.5000  0.0000  4 K 3.34, 4 Al 3.35, 4 Y 3.35
Al  0.7500  0.2500  0.5000  4 Y 3.34, 4 Al 3.35, 4 K 3.35

5.
Entry from Alexandria via LeMat-Bulk: a relaxed BaZnRe3 crystal (GGA-PBE).

electronic total energy: -6.056 eV/atom
space group: Pm-3m, No. 221
E_form: 197.97 kJ/mol of atoms

Cell lengths 4.7661, 4.7661, 4.7661 Å; angles 90.00, 90.00, 90.00 degrees
Last column: nearest neighbours and their distance in Å.
Atoms (fractional coordinates):
Ba  0.0000  0.0000  0.0000  12 Re 3.37
Zn  0.5000  0.5000  0.5000  6 Re 2.38
Re  0.0000  0.5000  0.5000  2 Zn 2.38
Re  0.5000  0.0000  0.5000  2 Zn 2.38
Re  0.5000  0.5000  0.0000  2 Zn 2.38

6.
Entry from Alexandria via LeMat-Bulk: a relaxed K3Dy2PaSe6 crystal (GGA-PBE).

electronic total energy: -5.167 eV/atom
space group: C2/m, No. 12
ΔE_f (raw): -1.592 eV/atom

Cell lengths 7.2842, 7.2842, 8.0920 Å; angles 98.63, 98.63, 120.00 degrees
Last column: nearest neighbours and their distance in Å.
Atoms (fractional coordinates):
K  0.0000  0.0000  0.0000  6 Se 3.31
K  0.3326  0.6674  0.0000  6 Se 3.31-3.32
K  0.6674  0.3326  0.0000  6 Se 3.31-3.32
Dy  0.1666  0.8334  0.5000  6 Se 2.91
Dy  0.8334  0.1666  0.5000  6 Se 2.91
Pa  0.5000  0.5000  0.5000  6 Se 2.91
Se  0.0976  0.4308  0.2923  1 Pa 2.91, 2 Dy 2.91
Se  0.2362  0.2362  0.7079  1 Pa 2.91, 2 Dy 2.91
Se  0.4308  0.0976  0.2923  1 Pa 2.91, 2 Dy 2.91
Se  0.5692  0.9024  0.7077  1 Pa 2.91, 2 Dy 2.91
Se  0.7638  0.7638  0.2921  1 Pa 2.91, 2 Dy 2.91
Se  0.9024  0.5692  0.7077  1 Pa 2.91, 2 Dy 2.91

7.
Entry from Alexandria via LeMat-Bulk: a relaxed RhSF3 crystal (GGA-PBE).

electronic total energy: -3.709 eV/atom
space group: Pm-3m, No. 221
ΔE_f (raw): -0.291 eV/atom

Cell lengths 4.1462, 4.1462, 4.1462 Å; angles 90.00, 90.00, 90.00 degrees
Last column: nearest neighbours and their distance in Å.
Atoms (fractional coordinates):
Rh  0.0000  0.0000  0.0000  6 F 2.07
S  0.5000  0.5000  0.5000  12 F 2.93
F  0.0000  0.0000  0.5000  2 Rh 2.07
F  0.0000  0.5000  0.0000  2 Rh 2.07
F  0.5000  0.0000  0.0000  2 Rh 2.07

8.
Entry from Alexandria via LeMat-Bulk: a relaxed Hf4SnN2 crystal (GGA-PBE).

electronic total energy: -8.316 eV/atom
space group: I4/mmm, No. 139
ΔE_f (raw): 0.322 eV/atom

Cell lengths 6.5702, 6.5702, 6.5702 Å; angles 133.58, 133.58, 67.75 degrees
Last column: nearest neighbours and their distance in Å.
Atoms (fractional coordinates):
Hf  0.0000  0.5000  0.5000  2 Sn 2.59, 4 N 2.67
Hf  0.2383  0.2383  0.0000  1 N 1.94
Hf  0.5000  0.0000  0.5000  2 Sn 2.59, 4 N 2.67
Hf  0.7617  0.7617  0.0000  1 N 1.94
Sn  0.5000  0.5000  0.0000  6 Hf 2.59-2.85
N  0.0603  0.0603  0.0000  1 N 1.32
N  0.9397  0.9397  0.0000  1 N 1.32

9.
Entry from Alexandria via LeMat-Bulk: a relaxed RbTbHgBr6 crystal (GGA-PBE).

electronic total energy: -3.143 eV/atom
space group: P312, No. 149
ΔE_f (raw): -1.372 eV/atom

Cell lengths 7.3882, 7.3882, 7.6523 Å; angles 90.00, 90.00, 120.00 degrees
Last column: nearest neighbours and their distance in Å.
Atoms (fractional coordinates):
Rb  0.0000  0.0000  0.0000  6 Br 3.53
Tb  0.6667  0.3333  0.5000  6 Br 2.83
Hg  0.3333  0.6667  0.5000  6 Br 2.87
Br  0.3784  0.0039  0.2833  1 Tb 2.83, 1 Hg 2.87
Br  0.3784  0.3745  0.7167  1 Tb 2.83, 1 Hg 2.87
Br  0.6255  0.0039  0.7167  1 Tb 2.83, 1 Hg 2.87
Br  0.6255  0.6216  0.2833  1 Tb 2.83, 1 Hg 2.87
Br  0.9961  0.3745  0.2833  1 Tb 2.83, 1 Hg 2.87
Br  0.9961  0.6216  0.7167  1 Tb 2.83, 1 Hg 2.87

10.
Entry from Alexandria via LeMat-Bulk: a relaxed Tl6SnPb2 crystal (GGA-PBE).

electronic total energy: -2.816 eV/atom
space group: P-6m2, No. 187
E_form: 2.93 kJ/mol of atoms

Cell lengths 3.6307, 3.6307, 24.7013 Å; angles 90.00, 90.00, 120.00 degrees
Last column: nearest neighbours and their distance in Å.
Atoms (fractional coordinates):
Tl  0.0000  0.0000  0.0659  7 Tl 3.26-3.63, 3 Pb 3.43
Tl  0.0000  0.0000  0.2853  3 Pb 3.43, 9 Tl 3.48-3.63
Tl  0.0000  0.0000  0.7147  3 Pb 3.43, 9 Tl 3.48-3.63
Tl  0.0000  0.0000  0.9341  7 Tl 3.26-3.63, 3 Pb 3.43
Tl  0.3333  0.6667  0.3975  3 Sn 3.29, 9 Tl 3.48-3.63
Tl  0.3333  0.6667  0.6025  3 Sn 3.29, 9 Tl 3.48-3.63
Sn  0.0000  0.0000  0.5000  6 Tl 3.29, 6 Sn 3.63
Pb  0.3333  0.6667  0.1756  6 Tl 3.43, 6 Pb 3.63
Pb  0.3333  0.6667  0.8244  6 Tl 3.43, 6 Pb 3.63

Please write out number 8 again, unchanged.
Entry from Alexandria via LeMat-Bulk: a relaxed Hf4SnN2 crystal (GGA-PBE).

electronic total energy: -8.316 eV/atom
space group: I4/mmm, No. 139
ΔE_f (raw): 0.322 eV/atom

Cell lengths 6.5702, 6.5702, 6.5702 Å; angles 133.58, 133.58, 67.75 degrees
Last column: nearest neighbours and their distance in Å.
Atoms (fractional coordinates):
Hf  0.0000  0.5000  0.5000  2 Sn 2.59, 4 N 2.67
Hf  0.2383  0.2383  0.0000  1 N 1.94
Hf  0.5000  0.0000  0.5000  2 Sn 2.59, 4 N 2.67
Hf  0.7617  0.7617  0.0000  1 N 1.94
Sn  0.5000  0.5000  0.0000  6 Hf 2.59-2.85
N  0.0603  0.0603  0.0000  1 N 1.32
N  0.9397  0.9397  0.0000  1 N 1.32